DFT (PBE-GGA) results for a relaxed structure of CaPb.

abc: 5.097 5.097 6.335
angles: 90.00 90.00 120.00
Atoms (fractional coordinates):
Ca 0.333 0.667 0.250
Ca 0.667 0.333 0.750
Pb 0.000 0.000 0.000
Pb 0.000 0.000 0.500

The energy relative to the elements is -0.322 eV/atom. For the magnetization, the calculation gives 0.000 μB/atom. As for the crystal system: hexagonal. The value obtained for the density of states at the Fermi level is 4.506 states/eV/cell.

DFT (PBE-GGA) results for a relaxed structure of CaPb6.

abc: 7.425 7.425 7.425
angles: 109.47 109.47 109.47
Atoms (fractional coordinates):
Ca 0.000 0.000 0.000
Pb 0.250 0.500 0.750
Pb 0.250 0.750 0.500
Pb 0.500 0.250 0.750
Pb 0.500 0.750 0.250
Pb 0.750 0.250 0.500
Pb 0.750 0.500 0.250

The energy relative to the elements is 0.368 eV/atom. For the magnetization, the calculation gives 0.000 μB/atom. As for the crystal system: cubic. The value obtained for the density of states at the Fermi level is 4.492 states/eV/cell.

DFT (PBE-GGA) results for a relaxed structure of CaPb.

abc: 3.620 3.620 4.577
angles: 90.00 90.00 90.00
Atoms (fractional coordinates):
Ca 0.000 0.000 0.000
Pb 0.500 0.500 0.500

The energy relative to the elements is -0.524 eV/atom. For the magnetization, the calculation gives 0.000 μB/atom. As for the crystal system: tetragonal. The value obtained for the density of states at the Fermi level is 0.875 states/eV/cell.

DFT (PBE-GGA) results for a relaxed structure of CaPb3.

abc: 3.564 5.730 6.128
angles: 90.00 91.81 90.00
Atoms (fractional coordinates):
Ca 0.000 0.000 0.000
Pb 0.328 0.500 0.754
Pb 0.500 0.000 0.500
Pb 0.672 0.500 0.246

The energy relative to the elements is -0.212 eV/atom. For the magnetization, the calculation gives 0.000 μB/atom. As for the crystal system: monoclinic. The value obtained for the density of states at the Fermi level is 1.515 states/eV/cell.

DFT (PBE-GGA) results for a relaxed structure of Ca5Pb6.

abc: 5.948 7.057 9.031
angles: 112.71 90.22 90.32
Atoms (fractional coordinates):
Ca 0.000 0.000 0.000
Ca 0.291 0.358 0.717
Ca 0.339 0.824 0.648
Ca 0.661 0.176 0.352
Ca 0.709 0.642 0.283
Pb 0.172 0.403 0.335
Pb 0.172 0.933 0.336
Pb 0.499 0.772 0.000
Pb 0.501 0.228 0.000
Pb 0.828 0.067 0.664
Pb 0.828 0.597 0.665

The energy relative to the elements is -0.437 eV/atom. For the magnetization, the calculation gives 0.000 μB/atom. As for the crystal system: triclinic. The value obtained for the density of states at the Fermi level is 4.327 states/eV/cell.

DFT (PBE-GGA) results for a relaxed structure of CaPb3.

abc: 6.207 6.207 5.604
angles: 105.38 105.38 36.65
Atoms (fractional coordinates):
Ca 0.000 0.000 0.000
Pb 0.246 0.246 0.741
Pb 0.500 0.500 0.500
Pb 0.754 0.754 0.259

The energy relative to the elements is -0.238 eV/atom. For the magnetization, the calculation gives 0.000 μB/atom. As for the crystal system: monoclinic. The value obtained for the density of states at the Fermi level is 2.424 states/eV/cell.

- Which value of energy relative to the elements does entry 3 give?
  -0.524 eV/atom

Repeat the third record exactly.
DFT (PBE-GGA) results for a relaxed structure of CaPb.

abc: 3.620 3.620 4.577
angles: 90.00 90.00 90.00
Atoms (fractional coordinates):
Ca 0.000 0.000 0.000
Pb 0.500 0.500 0.500

The energy relative to the elements is -0.524 eV/atom. For the magnetization, the calculation gives 0.000 μB/atom. As for the crystal system: tetragonal. The value obtained for the density of states at the Fermi level is 0.875 states/eV/cell.

- energy relative to the elements of number 1 (CaPb)?
  -0.322 eV/atom